(1)
DFT (PBE) results for a relaxed IrRuBr3 crystal.

Structure (CIF):
```
data_IrRuBr3
_cell_length_a 5.0578
_cell_length_b 5.0578
_cell_length_c 5.0578
_cell_angle_alpha 90.00
_cell_angle_beta 90.00
_cell_angle_gamma 90.00
_space_group_name_H-M_alt 'P m -3 m'
_space_group_IT_number 221
_space_group_name_Hall '-P 4 2 3'
loop_
_atom_site_label
_atom_site_type_symbol
_atom_site_fract_x
_atom_site_fract_y
_atom_site_fract_z
_atom_site_occupancy
Ir1 Ir 0.0000 0.0000 0.0000 1
Ru1 Ru 0.5000 0.5000 0.5000 1
Br1 Br 0.0000 0.0000 0.5000 1
```

uncorrected formation energy = 1087 meV/atom
excess energy over the best structure of this formula in the dataset = 0 meV per atom


(2)
DFT (PBE) results for a relaxed ZrTaSi2 crystal.

Structure (CIF):
```
data_ZrTaSi2
_cell_length_a 5.9118
_cell_length_b 7.6395
_cell_length_c 2.9498
_cell_angle_alpha 90.00
_cell_angle_beta 90.00
_cell_angle_gamma 90.00
_space_group_name_H-M_alt 'C m m m'
_space_group_IT_number 65
_space_group_name_Hall '-C 2 2'
loop_
_atom_site_label
_atom_site_type_symbol
_atom_site_fract_x
_atom_site_fract_y
_atom_site_fract_z
_atom_site_occupancy
Zr1 Zr 0.0000 0.0000 0.0000 1
Ta1 Ta 0.0000 0.5000 0.0000 1
Si1 Si 0.2500 0.2500 0.5000 1
```

uncorrected formation energy = -270 meV/atom
excess energy over the best structure of this formula in the dataset = 384 meV per atom


(3)
DFT (PBE) results for a relaxed Li8MgAg2 crystal.

Structure (CIF):
```
data_Li8MgAg2
_cell_length_a 4.7004
_cell_length_b 7.7773
_cell_length_c 11.2268
_cell_angle_alpha 90.00
_cell_angle_beta 90.00
_cell_angle_gamma 90.00
_space_group_name_H-M_alt 'I m m m'
_space_group_IT_number 71
_space_group_name_Hall '-I 2 2'
loop_
_atom_site_label
_atom_site_type_symbol
_atom_site_fract_x
_atom_site_fract_y
_atom_site_fract_z
_atom_site_occupancy
Li1 Li 0.0000 0.0000 0.1400 1
Li2 Li 0.0000 0.1926 0.3444 1
Li3 Li 0.0000 0.3212 0.0000 1
Mg1 Mg 0.0000 0.5000 0.5000 1
Ag1 Ag 0.0000 0.5000 0.2247 1
```

excess energy over the best structure of this formula in the dataset = 0 meV per atom
E_form = -0.94 eV/f.u.


(4)
DFT (PBE) results for a relaxed Tl2SbF11 crystal.

Structure (CIF):
```
data_Tl2SbF11
_cell_length_a 7.8292
_cell_length_b 10.2063
_cell_length_c 10.6556
_cell_angle_alpha 90.00
_cell_angle_beta 90.00
_cell_angle_gamma 90.00
_space_group_name_H-M_alt 'I b a m'
_space_group_IT_number 72
_space_group_name_Hall '-I 2 2c'
loop_
_atom_site_label
_atom_site_type_symbol
_atom_site_fract_x
_atom_site_fract_y
_atom_site_fract_z
_atom_site_occupancy
Tl1 Tl 0.1392 0.1815 0.0000 1
Sb1 Sb 0.0000 0.5000 0.2500 1
F1 F 0.0000 0.0000 0.0000 1
F2 F 0.0855 0.3422 0.1514 1
F3 F 0.1382 0.2066 0.5000 1
F4 F 0.2048 0.4389 0.3540 1
```

uncorrected formation energy = -1854 meV/atom